1.
Material: Cs2Br5Cl4
Method: DFT, PBE-GGA
State: optimized geometry

The energy relative to the elements, uncorrected comes out at -601 meV/atom. As for the size of the total moment: 0.90 μB/f.u. The value obtained for the density is 2.5 g/cm3.

The space group is P-1 (No. 2) and the conventional cell measures 4.931, 9.833 and 11.369 Å, with angles of 97.75, 91.73 and 90.00 degrees. Symmetry generates all atoms from Cs at (0.000, 0.238, 0.006), Br at (0.165, 0.562, 0.296), Br at (0.315, 0.422, 0.638), Br at (0.500, 0.500, 0.000), Cl at (0.186, 0.993, 0.467) and Cl at (0.492, 0.985, 0.883).


2.
Material: CsBrCl3
Method: DFT, PBE-GGA
State: optimized geometry

The energy relative to the elements, uncorrected comes out at -791 meV/atom. As for the size of the total moment: 0.00 μB/f.u. The value obtained for the density is 2.7 g/cm3.

The space group is C2/c (No. 15) and the conventional cell measures 10.967, 15.518 and 10.333 Å, with angles of 90.00, 115.00 and 90.00 degrees. Symmetry generates all atoms from Cs at (0.000, 0.067, 0.250), Cs at (0.000, 0.298, 0.750), Br at (0.137, 0.384, 0.295), Cl at (0.098, 0.115, 0.618), Cl at (0.121, 0.263, 0.141) and Cl at (0.157, 0.498, 0.951).


3.
Material: Cs8Br3Cl5
Method: DFT, PBE-GGA
State: optimized geometry

The energy relative to the elements, uncorrected comes out at -1896 meV/atom. As for the size of the total moment: 0.64 μB/f.u. The value obtained for the density is 3.3 g/cm3.

The space group is R-3m (No. 166, hexagonal axes) and the conventional cell measures 10.1542, 10.1542 and 25.0374 Å, with angles of 90.00, 90.00 and 120.00 degrees. Symmetry generates all atoms from Cs at (0.0000, 0.0000, 0.2454), Cs at (0.0054, 0.5027, 0.7528), Br at (0.0000, 0.5000, 0.0000), Cl at (0.0000, 0.0000, 0.0000), Cl at (0.0000, 0.0000, 0.5000) and Cl at (0.0000, 0.5000, 0.5000).


4.
Material: Cs8BrCl2
Method: DFT, PBE-GGA
State: optimized geometry

The energy relative to the elements, uncorrected comes out at -963 meV/atom. As for the size of the total moment: 0.00 μB/f.u. The value obtained for the density is 2.1 g/cm3.

The space group is C2/m (No. 12) and the conventional cell measures 16.326, 13.644 and 8.772 Å, with angles of 90.00, 92.08 and 90.00 degrees. Symmetry generates all atoms from Cs at (0.102, 0.195, 0.271), Cs at (0.114, 0.500, 0.767), Cs at (0.189, 0.000, 0.737), Br at (0.000, 0.000, 0.500) and Cl at (0.188, 0.000, 0.113).


5.
Material: CsBrCl3
Method: DFT, PBE-GGA
State: optimized geometry

The energy relative to the elements, uncorrected comes out at -839 meV/atom. As for the size of the total moment: 0.00 μB/f.u. The value obtained for the density is 2.4 g/cm3.

The space group is P1 (No. 1) and the conventional cell measures 7.111, 7.209 and 9.790 Å, with angles of 70.15, 79.24 and 68.45 degrees. Symmetry generates all atoms from Cs at (0.000, 0.000, 0.000), Cs at (0.275, 0.609, 0.501), Br at (0.133, 0.255, 0.354), Br at (0.365, 0.399, 0.918), Cl at (0.049, 0.431, 0.091), Cl at (0.206, 0.094, 0.598), Cl at (0.468, 0.696, 0.141), Cl at (0.634, 0.821, 0.255), Cl at (0.649, 0.376, 0.752) and Cl at (0.801, 0.946, 0.363).


6.
Material: Cs5Br4Cl
Method: DFT, PBE-GGA
State: optimized geometry

The energy relative to the elements, uncorrected comes out at -1821 meV/atom. As for the size of the total moment: 0.00 μB/f.u. The value obtained for the density is 3.5 g/cm3.

The space group is Immm (No. 71) and the conventional cell measures 5.163, 7.328 and 25.944 Å, with angles of 90.00, 90.00 and 90.00 degrees. Symmetry generates all atoms from Cs at (0.000, 0.000, 0.000), Cs at (0.000, 0.000, 0.201), Cs at (0.000, 0.000, 0.407), Br at (0.000, 0.500, 0.198), Br at (0.000, 0.500, 0.400) and Cl at (0.000, 0.500, 0.000).


7.
Material: CsBrCl3
Method: DFT, PBE-GGA
State: optimized geometry

The energy relative to the elements, uncorrected comes out at -806 meV/atom. As for the size of the total moment: 0.00 μB/f.u. The value obtained for the density is 2.4 g/cm3.

The space group is Cm (No. 8) and the conventional cell measures 16.168, 10.402 and 5.543 Å, with angles of 90.00, 110.03 and 90.00 degrees. Symmetry generates all atoms from Cs at (0.000, 0.000, 0.000), Cs at (0.133, 0.500, 0.634), Br at (0.316, 0.274, 0.256), Cl at (0.158, 0.273, 0.100), Cl at (0.316, 0.283, 0.752) and Cl at (0.475, 0.273, 0.415).


8.
Material: Cs2Br2Cl
Method: DFT, PBE-GGA
State: optimized geometry

The energy relative to the elements, uncorrected comes out at -1287 meV/atom. As for the size of the total moment: 1.05 μB/f.u. The value obtained for the density is 3.5 g/cm3. The value obtained for the offset from the most stable computed form is 0.101 eV per atom.

The space group is P4/mbm (No. 127) and the conventional cell measures 9.503, 9.503 and 4.788 Å, with angles of 90.00, 90.00 and 90.00 degrees. Symmetry generates all atoms from Cs at (0.160, 0.340, 0.000), Br at (0.147, 0.647, 0.500) and Cl at (0.000, 0.000, 0.500).


9.
Material: CsBrCl3
Method: DFT, PBE-GGA
State: optimized geometry

The energy relative to the elements, uncorrected comes out at -513 meV/atom. As for the size of the total moment: 0.32 μB/f.u. The value obtained for the density is 2.7 g/cm3.

The space group is P4mm (No. 99) and the conventional cell measures 4.967, 4.967 and 7.940 Å, with angles of 90.00, 90.00 and 90.00 degrees. Symmetry generates all atoms from Cs at (0.000, 0.000, 0.000), Br at (0.500, 0.500, 0.920), Cl at (0.000, 0.000, 0.459) and Cl at (0.000, 0.500, 0.443).


10.
Material: CsBrCl3
Method: DFT, PBE-GGA
State: optimized geometry

The energy relative to the elements, uncorrected comes out at -720 meV/atom. As for the size of the total moment: 0.00 μB/f.u. The value obtained for the density is 2.7 g/cm3.

The space group is P2_1/m (No. 11) and the conventional cell measures 5.706, 7.655 and 9.074 Å, with angles of 90.00, 99.96 and 90.00 degrees. Symmetry generates all atoms from Cs at (0.170, 0.250, 0.148), Br at (0.316, 0.250, 0.761), Cl at (0.178, 0.750, 0.214) and Cl at (0.282, 0.608, 0.673).


11.
Material: CsBrCl3
Method: DFT, PBE-GGA
State: optimized geometry

The energy relative to the elements, uncorrected comes out at -844 meV/atom. As for the size of the total moment: 0.00 μB/f.u. The value obtained for the density is 2.5 g/cm3.

The space group is P1 (No. 1) and the conventional cell measures 5.766, 8.147 and 10.067 Å, with angles of 76.63, 73.59 and 69.49 degrees. Symmetry generates all atoms from Cs at (0.000, 0.000, 0.000), Cs at (0.480, 0.508, 0.536), Br at (0.321, 0.117, 0.243), Br at (0.699, 0.625, 0.980), Cl at (0.150, 0.391, 0.312), Cl at (0.510, 0.788, 0.191), Cl at (0.541, 0.126, 0.790), Cl at (0.721, 0.950, 0.609), Cl at (0.876, 0.453, 0.801) and Cl at (0.894, 0.782, 0.435).


12.
Material: CsBrCl4
Method: DFT, PBE-GGA
State: optimized geometry

The energy relative to the elements, uncorrected comes out at -672 meV/atom. As for the size of the total moment: 0.00 μB/f.u. The value obtained for the density is 2.6 g/cm3. The value obtained for the offset from the most stable computed form is 0.010 eV per atom.

The space group is C2/m (No. 12) and the conventional cell measures 12.727, 5.266 and 7.583 Å, with angles of 90.00, 114.94 and 90.00 degrees. Symmetry generates all atoms from Cs at (0.000, 0.000, 0.000), Br at (0.000, 0.500, 0.500), Cl at (0.136, 0.500, 0.357) and Cl at (0.155, 0.500, 0.824).